VASP calculation (PBE-GGA) on a relaxed structure of SmErPdAu.

Cell lengths 5.0618, 5.0618, 5.0618 Å; angles 60.00, 60.00, 60.00 degrees
Positions (direct):
Sm 0.0000 0.0000 0.0000
Er 0.5000 0.5000 0.5000
Pd 0.7500 0.7500 0.7500
Au 0.2500 0.2500 0.2500

As for the space group: F-43m. The distance to the lowest polymorph of the same formula comes out at 0.045 eV per atom. The value obtained for the formation energy is -833 meV/atom.